Li3GaPb: PBEsol geometry, meta-GGA SCAN.

Calculated values
Density, g/cm3: 4.591
DFT total energy, eV per atom: -19.82
Symmetry: No. 221
Formation energy from the elements, eV per atom: 0.04

abc: 4.758 4.758 4.758
angles: 90.00 90.00 90.00
Positions (direct):
Li  0.000  0.000  0.500
Li  0.000  0.500  0.000
Li  0.500  0.000  0.000
Ga  0.000  0.000  0.000
Pb  0.500  0.500  0.500



LiGa2Pd: PBEsol geometry, meta-GGA SCAN.

Calculated values
Density, g/cm3: 7.467
DFT total energy, eV per atom: -17.54
Symmetry: No. 225
Formation energy from the elements, eV per atom: -0.58

abc: 6.081 6.081 6.081
angles: 90.00 90.00 90.00
Positions (direct):
Li  0.000  0.000  0.000
Li  0.000  0.500  0.500
Li  0.500  0.000  0.500
Li  0.500  0.500  0.000
Ga  0.250  0.250  0.250
Ga  0.250  0.250  0.750
Ga  0.250  0.750  0.250
Ga  0.250  0.750  0.750
Ga  0.750  0.250  0.250
Ga  0.750  0.250  0.750
Ga  0.750  0.750  0.250
Ga  0.750  0.750  0.750
Pd  0.000  0.000  0.500
Pd  0.000  0.500  0.000
Pd  0.500  0.000  0.000
Pd  0.500  0.500  0.500